Entry 1:
## Ba2TaAs2 (PBE)

Data for a relaxed Ba2TaAs2 crystal.

Cell and atoms, written as POSCAR:
```
Ba2TaAs2
1.0
6.641 0.000 0.000
0.000 6.641 0.000
0.000 0.000 10.377
Ba Ta As
4 2 4
direct
0.000 0.500 0.250
0.000 0.500 0.750
0.500 0.000 0.250
0.500 0.000 0.750
0.000 0.000 0.000
0.500 0.500 0.500
0.000 0.000 0.235
0.000 0.000 0.765
0.500 0.500 0.265
0.500 0.500 0.735
```

Its raw total energy is -50.75 eV per cell. The calculation puts the distance to the lowest polymorph of the same formula at 263 meV/atom. Its total moment is 0.200 μB/atom. As for the formation energy: -75 meV per atom. Its space group is I4/mmm.

Entry 2:
## Hf2SiO (PBE)

Data for a relaxed Hf2SiO crystal.

Cell and atoms, written as POSCAR:
```
Hf2SiO
1.0
5.359 0.000 0.000
0.000 5.359 0.000
0.000 0.000 10.793
Hf Si O
8 4 4
direct
0.172 0.250 0.125
0.250 0.672 0.375
0.250 0.828 0.875
0.328 0.250 0.625
0.672 0.750 0.625
0.750 0.172 0.875
0.750 0.328 0.375
0.828 0.750 0.125
0.000 0.000 0.500
0.000 0.500 0.750
0.500 0.000 0.250
0.500 0.500 0.000
0.000 0.000 0.000
0.000 0.500 0.250
0.500 0.000 0.750
0.500 0.500 0.500
```

Its raw total energy is -138.24 eV per cell. The calculation puts the distance to the lowest polymorph of the same formula at 0 meV/atom. Its total moment is 0.000 μB/atom. The calculation puts the uncorrected formation energy at -1.068 eV/atom. Its space group is I-42d.

Entry 3:
## SrSi2As (PBE)

Data for a relaxed SrSi2As crystal.

Cell and atoms, written as POSCAR:
```
SrSi2As
1.0
4.136 0.000 0.000
0.000 4.136 0.000
0.000 0.000 10.182
Sr Si As
2 4 2
direct
0.000 0.000 0.000
0.500 0.500 0.500
0.000 0.500 0.250
0.000 0.500 0.750
0.500 0.000 0.250
0.500 0.000 0.750
0.000 0.000 0.500
0.500 0.500 0.000
```

Its raw total energy is -33.32 eV per cell. Its total moment is 0.000 μB/atom. The calculation puts the uncorrected formation energy at 0.129 eV/atom. Its space group is I4/mmm.

Entry 4:
## BaY2Cl2 (PBE)

Data for a relaxed BaY2Cl2 crystal.

Cell and atoms, written as POSCAR:
```
BaY2Cl2
1.0
5.219 0.000 0.000
0.000 5.219 0.000
0.000 0.000 11.665
Ba Y Cl
2 4 4
direct
0.000 0.000 0.000
0.500 0.500 0.500
0.000 0.000 0.358
0.000 0.000 0.642
0.500 0.500 0.142
0.500 0.500 0.858
0.000 0.500 0.250
0.000 0.500 0.750
0.500 0.000 0.250
0.500 0.000 0.750
```

Its raw total energy is -44.92 eV per cell. Its total moment is 0.413 μB/atom. The calculation puts the uncorrected formation energy at -0.784 eV/atom. Its space group is I4/mmm.

Entry 5:
## CsCdI2Br (PBE)

Data for a relaxed CsCdI2Br crystal.

Cell and atoms, written as POSCAR:
```
CsCdI2Br
1.0
9.904 0.000 0.000
0.000 4.818 0.000
-2.137 0.000 10.306
Cs Cd I Br
2 2 4 2
direct
0.161 0.250 0.248
0.839 0.750 0.752
0.289 0.250 0.740
0.711 0.750 0.260
0.207 0.750 0.577
0.433 0.750 0.165
0.567 0.250 0.835
0.793 0.250 0.423
0.103 0.250 0.884
0.897 0.750 0.116
```

Its raw total energy is -23.67 eV per cell. The calculation puts the distance to the lowest polymorph of the same formula at 0 meV/atom. Its total moment is 0.000 μB/atom. The calculation puts the uncorrected formation energy at -1.059 eV/atom. Its space group is P2_1/m.

Entry 6:
## Dy2Y3Pd2 (PBE)

Data for a relaxed Dy2Y3Pd2 crystal.

Cell and atoms, written as POSCAR:
```
Dy2Y3Pd2
1.0
3.719 0.000 0.000
1.852 6.341 0.000
1.848 0.218 8.148
Dy Y Pd
2 3 2
direct
0.112 0.149 0.127
0.888 0.851 0.873
0.343 0.603 0.211
0.500 0.000 0.500
0.657 0.397 0.789
0.142 0.643 0.574
0.858 0.357 0.426
```

Its raw total energy is -41.74 eV per cell. The calculation puts the distance to the lowest polymorph of the same formula at 122 meV/atom. Its total moment is 0.000 μB/atom. As for the formation energy: -394 meV per atom. Its space group is P-1.

Entry 7:
## ErTmSc2Se4 (PBE)

Data for a relaxed ErTmSc2Se4 crystal.

Cell and atoms, written as POSCAR:
```
ErTmSc2Se4
1.0
6.844 0.000 0.000
0.000 3.929 0.000
-2.257 0.000 6.498
Er Tm Sc Se
1 1 2 4
direct
0.000 0.000 0.000
0.000 0.500 0.500
0.500 0.000 0.500
0.500 0.500 0.000
0.260 0.000 0.753
0.261 0.500 0.255
0.739 0.500 0.745
0.740 0.000 0.247
```

Its raw total energy is -48.69 eV per cell. Its total moment is 0.000 μB/atom. The calculation puts the uncorrected formation energy at -1.632 eV/atom. Its space group is P2/m.

Entry 8:
## CsNa2SiGe (PBE)

Data for a relaxed CsNa2SiGe crystal.

Cell and atoms, written as POSCAR:
```
CsNa2SiGe
1.0
5.743 0.000 0.000
0.000 5.743 0.000
0.000 0.000 5.091
Cs Na Si Ge
1 2 1 1
direct
0.000 0.000 0.000
0.000 0.500 0.500
0.500 0.000 0.500
0.500 0.500 0.500
0.500 0.500 0.000
```

Its raw total energy is -12.75 eV per cell. Its total moment is 0.000 μB/atom. The calculation puts the uncorrected formation energy at 0.156 eV/atom. Its space group is P4/mmm.

Entry 9:
## Cs2BiPdCl (PBE)

Data for a relaxed Cs2BiPdCl crystal.

Cell and atoms, written as POSCAR:
```
Cs2BiPdCl
1.0
7.503 0.000 0.000
0.000 7.503 0.000
0.000 0.000 5.449
Cs Bi Pd Cl
2 1 1 1
direct
0.000 0.500 0.000
0.500 0.000 0.000
0.000 0.000 0.000
0.500 0.500 0.500
0.000 0.000 0.500
```

Its raw total energy is -12.02 eV per cell. Its total moment is 0.101 μB/atom. The calculation puts the uncorrected formation energy at 0.121 eV/atom. Its space group is P4/mmm.

Entry 10:
## ZnBC2 (PBE)

Data for a relaxed ZnBC2 crystal.

Cell and atoms, written as POSCAR:
```
ZnBC2
1.0
4.395 0.000 0.000
0.000 4.395 0.000
0.000 0.000 7.756
Zn B C
4 4 8
direct
0.000 0.000 0.000
0.000 0.500 0.250
0.500 0.000 0.750
0.500 0.500 0.500
0.000 0.000 0.500
0.000 0.500 0.750
0.500 0.000 0.250
0.500 0.500 0.000
0.160 0.250 0.625
0.250 0.660 0.875
0.250 0.840 0.375
0.340 0.250 0.125
0.660 0.750 0.125
0.750 0.160 0.375
0.750 0.340 0.875
0.840 0.750 0.625
```

Its raw total energy is -89.83 eV per cell. The calculation puts the distance to the lowest polymorph of the same formula at 0 meV/atom. Its total moment is 0.000 μB/atom. As for the formation energy: 985 meV per atom. Its space group is I-42d.

Entry 11:
## Ac2Sm6Tm3 (PBE)

Data for a relaxed Ac2Sm6Tm3 crystal.

Cell and atoms, written as POSCAR:
```
Ac2Sm6Tm3
1.0
1.837 1.060 32.569
-1.837 1.060 32.569
0.000 -2.121 32.569
Ac Sm Tm
2 6 3
direct
0.047 0.047 0.047
0.953 0.953 0.953
0.138 0.138 0.138
0.318 0.318 0.318
0.413 0.413 0.413
0.587 0.587 0.587
0.682 0.682 0.682
0.862 0.862 0.862
0.225 0.225 0.225
0.500 0.500 0.500
0.775 0.775 0.775
```

Its raw total energy is -49.39 eV per cell. Its total moment is 0.000 μB/atom. As for the formation energy: 50 meV per atom. Its space group is R-3m.

Entry 12:
## LiTc3F (PBE)

Data for a relaxed LiTc3F crystal.

Cell and atoms, written as POSCAR:
```
LiTc3F
1.0
4.174 0.000 0.000
0.000 4.174 0.000
0.000 0.000 4.174
Li Tc F
1 3 1
direct
0.000 0.000 0.000
0.000 0.500 0.500
0.500 0.000 0.500
0.500 0.500 0.000
0.500 0.500 0.500
```

Its raw total energy is -30.05 eV per cell. The calculation puts the distance to the lowest polymorph of the same formula at 0 meV/atom. Its total moment is 0.428 μB/atom. The calculation puts the uncorrected formation energy at 0.967 eV/atom. Its space group is Pm-3m.

Entry 13:
## BeTcS2 (PBE)

Data for a relaxed BeTcS2 crystal.

Cell and atoms, written as POSCAR:
```
BeTcS2
1.0
3.222 0.000 0.000
-1.611 2.791 0.000
0.000 0.000 21.029
Be Tc S
3 3 6
direct
0.000 0.000 0.000
0.333 0.667 0.667
0.667 0.333 0.333
0.000 0.000 0.500
0.333 0.667 0.167
0.667 0.333 0.833
0.000 0.000 0.093
0.000 0.000 0.907
0.333 0.667 0.573
0.333 0.667 0.760
0.667 0.333 0.240
0.667 0.333 0.427
```

Its raw total energy is -67.96 eV per cell. Its total moment is 0.105 μB/atom. The calculation puts the uncorrected formation energy at -0.076 eV/atom. Its space group is R-3m.

Entry 14:
## Co15Pt2Rh2 (PBE)

Data for a relaxed Co15Pt2Rh2 crystal.

Cell and atoms, written as POSCAR:
```
Co15Pt2Rh2
1.0
4.106 2.370 4.027
-4.106 2.370 4.027
0.000 -4.741 4.027
Co Pt Rh
15 2 2
direct
0.000 0.000 0.500
0.000 0.305 0.695
0.000 0.500 0.000
0.000 0.695 0.305
0.164 0.643 0.643
0.305 0.000 0.695
0.305 0.695 0.000
0.357 0.357 0.836
0.357 0.836 0.357
0.500 0.000 0.000
0.643 0.164 0.643
0.643 0.643 0.164
0.695 0.000 0.305
0.695 0.305 0.000
0.836 0.357 0.357
0.108 0.108 0.108
0.892 0.892 0.892
0.349 0.349 0.349
0.651 0.651 0.651
```

Its raw total energy is -130.54 eV per cell. Its total moment is 1.533 μB/atom. As for the formation energy: 149 meV per atom. Its space group is R-3m.

Entry 15:
## Sm8Dy3Er4 (PBE)

Data for a relaxed Sm8Dy3Er4 crystal.

Cell and atoms, written as POSCAR:
```
Sm8Dy3Er4
1.0
6.813 -6.056 0.000
6.813 6.056 0.000
-3.178 0.000 6.048
Sm Dy Er
8 3 4
direct
0.203 0.203 0.172
0.204 0.796 0.000
0.253 0.747 0.500
0.256 0.256 0.709
0.744 0.744 0.291
0.747 0.253 0.500
0.796 0.204 0.000
0.797 0.797 0.828
0.000 0.000 0.500
0.000 0.500 0.000
0.500 0.000 0.000
0.000 0.500 0.500
0.500 0.000 0.500
0.500 0.500 0.000
0.500 0.500 0.500
```

Its raw total energy is -64.47 eV per cell. Its total moment is 0.000 μB/atom. As for the formation energy: 356 meV per atom. Its space group is C2/m.

Entry 16:
## SnHgBi (PBE)

Data for a relaxed SnHgBi crystal.

Cell and atoms, written as POSCAR:
```
SnHgBi
1.0
3.231 0.000 0.000
0.000 3.231 0.000
0.000 0.000 17.549
Sn Hg Bi
2 2 2
direct
0.000 0.000 0.000
0.500 0.500 0.500
0.000 0.000 0.359
0.500 0.500 0.859
0.000 0.000 0.184
0.500 0.500 0.684
```

Its raw total energy is -15.87 eV per cell. The calculation puts the distance to the lowest polymorph of the same formula at 46 meV/atom. Its total moment is 0.000 μB/atom. As for the formation energy: 84 meV per atom. Its space group is I4mm.

Entry 17:
## ZnMo (PBE)

Data for a relaxed ZnMo crystal.

Cell and atoms, written as POSCAR:
```
ZnMo
1.0
4.960 0.000 0.000
0.000 4.960 0.000
0.000 0.000 4.960
Zn Mo
4 4
direct
0.097 0.097 0.097
0.403 0.903 0.597
0.597 0.403 0.903
0.903 0.597 0.403
0.100 0.600 0.900
0.400 0.400 0.400
0.600 0.900 0.100
0.900 0.100 0.600
```

Its raw total energy is -45.01 eV per cell. The calculation puts the distance to the lowest polymorph of the same formula at 365 meV/atom. Its total moment is 0.000 μB/atom. As for the formation energy: 427 meV per atom. Its space group is P2_13.

Entry 18:
## NdSm3Hg (PBE)

Data for a relaxed NdSm3Hg crystal.

Cell and atoms, written as POSCAR:
```
NdSm3Hg
1.0
5.762 -3.790 0.000
5.762 3.790 0.000
-2.857 0.000 7.541
Nd Sm Hg
2 6 2
direct
0.060 0.060 0.239
0.940 0.940 0.761
0.089 0.589 0.354
0.411 0.911 0.646
0.438 0.438 0.757
0.562 0.562 0.243
0.589 0.089 0.354
0.911 0.411 0.646
0.255 0.255 0.000
0.745 0.745 0.000
```

Its raw total energy is -39.38 eV per cell. The calculation puts the distance to the lowest polymorph of the same formula at 77 meV/atom. Its total moment is 0.000 μB/atom. As for the formation energy: -93 meV per atom. Its space group is C2/m.

Entry 19:
## HfTlAu (PBE)

Data for a relaxed HfTlAu crystal.

Cell and atoms, written as POSCAR:
```
HfTlAu
1.0
7.051 0.000 0.000
0.000 4.576 0.000
0.000 0.000 8.382
Hf Tl Au
4 4 4
direct
0.161 0.250 0.075
0.339 0.750 0.575
0.661 0.250 0.425
0.839 0.750 0.925
0.013 0.250 0.690
0.487 0.750 0.190
0.513 0.250 0.810
0.987 0.750 0.310
0.227 0.750 0.897
0.273 0.250 0.397
0.727 0.750 0.603
0.773 0.250 0.103
```

Its raw total energy is -63.86 eV per cell. Its total moment is 0.000 μB/atom. As for the formation energy: -123 meV per atom. Its space group is Pnma.

Entry 20:
## Tl5AuCl4 (PBE)

Data for a relaxed Tl5AuCl4 crystal.

Cell and atoms, written as POSCAR:
```
Tl5AuCl4
1.0
-5.076 5.076 3.180
5.076 -5.076 3.180
5.076 5.076 -3.180
Tl Au Cl
5 1 4
direct
0.000 0.000 0.000
0.212 0.406 0.616
0.406 0.790 0.195
0.595 0.212 0.805
0.790 0.595 0.384
0.499 0.499 0.000
0.101 0.702 0.801
0.300 0.101 0.399
0.702 0.901 0.601
0.901 0.300 0.199
```

Its raw total energy is -30.35 eV per cell. Its total moment is 0.000 μB/atom. The calculation puts the uncorrected formation energy at -0.786 eV/atom. Its space group is I4.

Entry 21:
## CuC3Br (PBE)

Data for a relaxed CuC3Br crystal.

Cell and atoms, written as POSCAR:
```
CuC3Br
1.0
3.986 0.000 0.000
0.000 3.986 0.000
0.000 0.000 3.986
Cu C Br
1 3 1
direct
0.000 0.000 0.000
0.000 0.000 0.500
0.000 0.500 0.000
0.500 0.000 0.000
0.500 0.500 0.500
```

Its raw total energy is -18.47 eV per cell. The calculation puts the distance to the lowest polymorph of the same formula at 0 meV/atom. Its total moment is 0.155 μB/atom. The calculation puts the uncorrected formation energy at 2.993 eV/atom. Its space group is Pm-3m.

Entry 22:
## ScTlSn (PBE)

Data for a relaxed ScTlSn crystal.

Cell and atoms, written as POSCAR:
```
ScTlSn
1.0
3.336 0.000 0.000
0.000 3.336 0.000
0.000 0.000 7.005
Sc Tl Sn
1 1 1
direct
0.000 0.000 0.000
0.500 0.500 0.703
0.500 0.500 0.283
```

Its raw total energy is -13.42 eV per cell. The calculation puts the distance to the lowest polymorph of the same formula at 41 meV/atom. Its total moment is 0.000 μB/atom. As for the formation energy: -241 meV per atom. Its space group is P4mm.

Entry 23:
## V2Ga2Pd (PBE)

Data for a relaxed V2Ga2Pd crystal.

Cell and atoms, written as POSCAR:
```
V2Ga2Pd
1.0
7.417 0.000 0.000
0.000 7.417 0.000
0.000 0.000 2.763
V Ga Pd
4 4 2
direct
0.109 0.391 0.000
0.391 0.891 0.000
0.609 0.109 0.000
0.891 0.609 0.000
0.188 0.688 0.500
0.312 0.188 0.500
0.688 0.812 0.500
0.812 0.312 0.500
0.000 0.000 0.000
0.500 0.500 0.000
```

Its raw total energy is -59.37 eV per cell. The calculation puts the distance to the lowest polymorph of the same formula at 95 meV/atom. Its total moment is 0.000 μB/atom. As for the formation energy: -40 meV per atom. Its space group is P4/mbm.

Entry 24:
## SrTlV3 (PBE)

Data for a relaxed SrTlV3 crystal.

Cell and atoms, written as POSCAR:
```
SrTlV3
1.0
5.276 0.000 0.000
0.000 5.276 0.000
0.000 0.000 5.276
Sr Tl V
1 1 3
direct
0.000 0.000 0.000
0.500 0.500 0.500
0.000 0.500 0.500
0.500 0.000 0.500
0.500 0.500 0.000
```

Its raw total energy is -24.71 eV per cell. The calculation puts the distance to the lowest polymorph of the same formula at 0 meV/atom. Its total moment is 2.151 μB/atom. As for the formation energy: 1339 meV per atom. Its space group is Pm-3m.

Entry 25:
## ZnTe2 (PBE)

Data for a relaxed ZnTe2 crystal.

Cell and atoms, written as POSCAR:
```
ZnTe2
1.0
4.003 0.000 0.000
-2.002 3.467 0.000
0.000 0.000 17.100
Zn Te
3 6
direct
0.000 0.000 0.000
0.333 0.667 0.667
0.667 0.333 0.333
0.000 0.000 0.240
0.000 0.000 0.760
0.333 0.667 0.427
0.333 0.667 0.906
0.667 0.333 0.094
0.667 0.333 0.573
```

Its raw total energy is -22.77 eV per cell. Its total moment is 0.000 μB/atom. The calculation puts the uncorrected formation energy at -0.011 eV/atom. Its space group is R-3m.